First-principles (PBE) data for a geometry-optimized KCrTe2 structure, as listed in Alexandria.

Fermi-level density of states	3.016	states/eV/cell
E_tot	-4.668	eV per atom
total magnetic moment	12.00	μB/cell

a = 8.0785 Å, b = 8.0785 Å, c = 8.6431 Å
α = 90.00°, β = 90.00°, γ = 90.00°
Closest atoms and distances in Å follow each position.
Atoms (fractional coordinates):
1 K 0.0000 0.0000 0.0000  8 Te 3.60-4.02
2 K 0.0000 0.5000 0.2500  8 Te 3.60-4.02
3 K 0.5000 0.0000 0.7500  8 Te 3.60-4.02
4 K 0.5000 0.5000 0.5000  8 Te 3.60-4.02
5 Cr 0.0000 0.0000 0.5000  4 Te 2.62
6 Cr 0.0000 0.5000 0.7500  4 Te 2.62
7 Cr 0.5000 0.0000 0.2500  4 Te 2.62
8 Cr 0.5000 0.5000 0.0000  4 Te 2.62
9 Te 0.1568 0.7500 0.6250  2 Cr 2.62
10 Te 0.2500 0.1568 0.3750  2 Cr 2.62
11 Te 0.2500 0.3432 0.8750  2 Cr 2.62
12 Te 0.3432 0.7500 0.1250  2 Cr 2.62
13 Te 0.6568 0.2500 0.1250  2 Cr 2.62
14 Te 0.7500 0.6568 0.8750  2 Cr 2.62
15 Te 0.7500 0.8432 0.3750  2 Cr 2.62
16 Te 0.8432 0.2500 0.6250  2 Cr 2.62